The following is a PBE calculation of an optimized crystal structure of PuAsW, from OQMD.

Structure (POSCAR):
```
PuAsW
1.0
-2.865 1.079 3.293
-3.902 2.006 -0.982
-3.863 -2.257 0.448
As Pu W
1 1 1
direct
0.000 0.000 0.000 As
0.250 0.250 0.250 Pu
0.750 0.750 0.750 W
```

Summary:
E above lowest polymorph	0	meV/atom
crystal system	cubic

The following is a PBE calculation of an optimized crystal structure of Th3PSe2, from OQMD.

Structure (POSCAR):
```
Th3PSe2
1.0
3.624 -6.257 0.000
3.624 6.257 0.000
-2.401 0.000 6.854
P Se Th
2 4 6
direct
0.668 0.332 0.000 P
0.332 0.668 0.000 P
0.000 0.000 0.000 Se
0.839 0.161 0.500 Se
0.500 0.500 0.500 Se
0.161 0.839 0.500 Se
0.732 0.732 0.233 Th
0.425 0.080 0.238 Th
0.080 0.425 0.238 Th
0.920 0.575 0.762 Th
0.575 0.920 0.762 Th
0.268 0.268 0.767 Th
```

Summary:
VASP energy	-7.36	eV/atom
crystal system	monoclinic

The following is a PBE calculation of an optimized crystal structure of RbHoCoTe3, from OQMD.

Structure (POSCAR):
```
RbHoCoTe3
1.0
-2.358 -3.612 1.280
5.126 1.125 12.619
-9.307 7.188 3.140
Co Ho Rb Te
4 4 4 12
direct
0.500 0.455 0.247 Co
0.000 0.955 0.253 Co
0.500 0.545 0.747 Co
0.000 0.045 0.753 Co
0.500 0.063 0.017 Ho
0.000 0.563 0.483 Ho
0.500 0.937 0.517 Ho
0.000 0.437 0.983 Ho
0.500 0.747 0.186 Rb
0.000 0.247 0.314 Rb
0.500 0.253 0.686 Rb
0.000 0.753 0.814 Rb
0.000 0.913 0.049 Te
0.500 0.319 0.097 Te
0.000 0.539 0.222 Te
0.500 0.039 0.278 Te
0.000 0.819 0.403 Te
0.500 0.413 0.451 Te
0.000 0.087 0.549 Te
0.500 0.681 0.597 Te
0.000 0.461 0.722 Te
0.500 0.961 0.778 Te
0.000 0.181 0.903 Te
0.500 0.587 0.951 Te
```

Summary:
E above lowest polymorph	87	meV/atom
crystal system	orthorhombic

The following is a PBE calculation of an optimized crystal structure of SmCo3, from OQMD.

Structure (POSCAR):
```
SmCo3
1.0
-4.348 -1.659 1.903
4.361 -1.599 1.926
-1.502 4.604 7.225
Co Sm
9 3
direct
0.668 0.334 0.997 Co
0.332 0.666 0.003 Co
0.841 0.420 0.241 Co
0.339 0.420 0.241 Co
0.339 0.918 0.241 Co
0.000 0.500 0.500 Co
0.661 0.082 0.759 Co
0.661 0.580 0.759 Co
0.159 0.580 0.759 Co
0.000 0.000 0.000 Sm
0.720 0.860 0.420 Sm
0.280 0.140 0.580 Sm
```

Summary:
formation energy from the elements	-0.03	eV per atom
crystal system	trigonal

The following is a PBE calculation of an optimized crystal structure of Al8Ni5, from OQMD.

Structure (POSCAR):
```
Al8Ni5
1.0
-6.071 -0.642 6.414
-5.806 4.183 5.217
-8.460 1.060 2.391
Al Ni
8 5
direct
0.591 0.097 0.097 Al
0.097 0.591 0.097 Al
0.167 0.167 0.167 Al
0.903 0.903 0.409 Al
0.097 0.097 0.591 Al
0.833 0.833 0.833 Al
0.903 0.409 0.903 Al
0.409 0.903 0.903 Al
0.000 0.000 0.000 Ni
0.347 0.347 0.347 Ni
0.448 0.448 0.448 Ni
0.552 0.552 0.552 Ni
0.653 0.653 0.653 Ni
```

Summary:
E above lowest polymorph	144	meV/atom
crystal system	trigonal

The following is a PBE calculation of an optimized crystal structure of NaZr2CuF11, from OQMD.

Structure (POSCAR):
```
NaZr2CuF11
1.0
-4.623 2.029 1.575
-0.465 -5.464 0.493
4.099 2.620 5.646
Cu F Na Zr
1 11 1 2
direct
0.000 0.500 0.500 Cu
0.366 0.314 0.031 F
0.221 0.790 0.113 F
0.828 0.569 0.296 F
0.844 0.062 0.296 F
0.295 0.482 0.369 F
0.500 0.000 0.500 F
0.705 0.518 0.631 F
0.156 0.938 0.704 F
0.172 0.431 0.704 F
0.779 0.210 0.887 F
0.634 0.686 0.969 F
0.000 0.000 0.000 Na
0.525 0.722 0.241 Zr
0.475 0.278 0.759 Zr
```

Summary:
E above lowest polymorph	0	meV/atom
crystal system	triclinic

The following is a PBE calculation of an optimized crystal structure of LiTmPa, from OQMD.

Structure (POSCAR):
```
LiTmPa
1.0
0.005 -3.073 3.696
0.040 1.664 4.509
-3.910 -0.445 2.761
Li Pa Tm
1 1 1
direct
0.250 0.250 0.250 Li
0.750 0.750 0.750 Pa
0.000 0.000 0.000 Tm
```

Summary:
E above lowest polymorph	0	meV/atom
crystal system	cubic

The following is a PBE calculation of an optimized crystal structure of PrNbPO, from OQMD.

Structure (POSCAR):
```
PrNbPO
1.0
-3.812 -1.049 -1.451
1.695 -3.214 -2.129
-1.081 -4.703 6.237
Nb O P Pr
2 2 2 2
direct
0.000 0.500 0.090 Nb
0.500 0.000 0.910 Nb
0.000 0.000 0.000 O
0.500 0.500 0.000 O
0.500 0.000 0.241 P
0.000 0.500 0.759 P
0.000 0.000 0.500 Pr
0.500 0.500 0.500 Pr
```

Summary:
E above lowest polymorph	1196	meV/atom
crystal system	tetragonal

The following is a PBE calculation of an optimized crystal structure of MgGa2Cu4Ni, from OQMD.

Structure (POSCAR):
```
MgGa2Cu4Ni
1.0
-2.306 0.412 -3.463
0.224 -4.126 -0.640
-4.975 -0.770 3.222
Cu Ga Mg Ni
4 2 1 1
direct
0.500 0.000 0.237 Cu
0.000 0.500 0.237 Cu
0.500 0.000 0.763 Cu
0.000 0.500 0.763 Cu
0.000 0.000 0.000 Ga
0.500 0.500 0.500 Ga
0.000 0.000 0.500 Mg
0.500 0.500 0.000 Ni
```

Summary:
VASP energy	-3.62	eV/atom
crystal system	tetragonal

The following is a PBE calculation of an optimized crystal structure of HfFe2Ag, from OQMD.

Structure (POSCAR):
```
HfFe2Ag
1.0
0.000 3.140 3.140
3.140 0.000 3.140
3.140 3.140 0.000
Ag Fe Hf
1 2 1
direct
0.750 0.750 0.750 Ag
0.000 0.000 0.000 Fe
0.250 0.250 0.250 Fe
0.500 0.500 0.500 Hf
```

Summary:
formation energy from the elements	0.20	eV per atom
crystal system	cubic

The following is a PBE calculation of an optimized crystal structure of CsTaCu, from OQMD.

Structure (POSCAR):
```
CsTaCu
1.0
3.326 0.668 3.709
-1.551 0.097 4.780
1.123 -3.806 3.085
Cs Cu Ta
1 1 1
direct
0.250 0.250 0.250 Cs
0.000 0.000 0.000 Cu
0.750 0.750 0.750 Ta
```

Summary:
VASP energy	-3.37	eV/atom
crystal system	cubic

The following is a PBE calculation of an optimized crystal structure of ZrFe2Bi, from OQMD.

Structure (POSCAR):
```
ZrFe2Bi
1.0
4.144 0.611 1.849
0.497 0.011 4.552
2.115 -3.488 2.081
Bi Fe Zr
1 2 1
direct
0.500 0.500 0.500 Bi
0.000 0.000 0.000 Fe
0.750 0.750 0.750 Fe
0.250 0.250 0.250 Zr
```

Summary:
VASP energy	-6.98	eV/atom
crystal system	cubic

The following is a PBE calculation of an optimized crystal structure of ZrIn, from OQMD.

Structure (POSCAR):
```
ZrIn
1.0
-2.122 -0.619 2.198
2.263 -0.171 2.137
-0.440 4.416 0.819
In Zr
1 1
direct
0.000 0.000 0.000 In
0.500 0.500 0.500 Zr
```

Summary:
VASP energy	-5.96	eV/atom
crystal system	tetragonal

The following is a PBE calculation of an optimized crystal structure of InCuIrAu, from OQMD.

Structure (POSCAR):
```
InCuIrAu
1.0
0.000 3.204 3.204
3.204 0.000 3.204
3.204 3.204 0.000
Au Cu In Ir
1 1 1 1
direct
0.500 0.500 0.500 Au
0.750 0.750 0.750 Cu
0.000 0.000 0.000 In
0.250 0.250 0.250 Ir
```

Summary:
E above lowest polymorph	0	meV/atom
crystal system	cubic

The following is a PBE calculation of an optimized crystal structure of HfCoSb, from OQMD.

Structure (POSCAR):
```
HfCoSb
1.0
-2.228 3.005 5.525
3.403 -5.721 0.455
3.502 2.104 0.268
Co Hf Sb
3 3 3
direct
0.250 0.000 0.000 Co
0.000 0.250 0.000 Co
0.750 0.750 0.000 Co
0.572 0.000 0.500 Hf
0.428 0.428 0.500 Hf
0.000 0.572 0.500 Hf
0.667 0.333 0.000 Sb
0.333 0.667 0.000 Sb
0.000 0.000 0.500 Sb
```

Summary:
VASP energy	-7.40	eV/atom
crystal system	hexagonal

The following is a PBE calculation of an optimized crystal structure of ScCoBIr, from OQMD.

Structure (POSCAR):
```
ScCoBIr
1.0
2.993 -2.686 0.914
-0.103 -2.067 3.567
-0.795 -4.046 0.016
B Co Ir Sc
1 1 1 1
direct
0.000 0.000 0.000 B
0.750 0.750 0.750 Co
0.250 0.250 0.250 Ir
0.500 0.500 0.500 Sc
```

Summary:
E above lowest polymorph	0	meV/atom
crystal system	cubic

The following is a PBE calculation of an optimized crystal structure of Au, from OQMD.

Structure (POSCAR):
```
Au
1.0
0.656 2.533 2.417
3.480 -0.644 -0.405
0.235 3.847 -4.096
Au
4
direct
0.248 0.752 0.124 Au
0.748 0.252 0.376 Au
0.252 0.748 0.624 Au
0.752 0.248 0.876 Au
```

Summary:
formation energy from the elements	0.03	eV per atom
E above lowest polymorph	28	meV/atom
crystal system	orthorhombic

The following is a PBE calculation of an optimized crystal structure of BaMg2GeAu, from OQMD.

Structure (POSCAR):
```
BaMg2GeAu
1.0
-2.307 2.307 5.961
2.307 -2.307 5.961
2.307 2.307 -5.961
Au Ba Ge Mg
1 1 1 2
direct
0.384 0.384 0.000 Au
0.006 0.006 0.000 Ba
0.614 0.614 0.000 Ge
0.748 0.248 0.500 Mg
0.248 0.748 0.500 Mg
```

Summary:
VASP energy	-3.14	eV/atom
crystal system	tetragonal

The following is a PBE calculation of an optimized crystal structure of Dy2Ga, from OQMD.

Structure (POSCAR):
```
Dy2Ga
1.0
-2.321 -4.503 -3.501
-5.114 -2.944 1.761
-5.271 0.884 -3.060
Dy Ga
4 2
direct
0.625 0.625 0.125 Dy
0.625 0.125 0.625 Dy
0.125 0.625 0.625 Dy
0.625 0.625 0.625 Dy
0.000 0.000 0.000 Ga
0.250 0.250 0.250 Ga
```

Summary:
VASP energy	-3.76	eV/atom
crystal system	cubic

The following is a PBE calculation of an optimized crystal structure of Gd2Nb, from OQMD.

Structure (POSCAR):
```
Gd2Nb
1.0
-5.620 5.080 3.485
2.365 7.425 2.967
-2.307 6.986 -3.926
Gd Nb
4 2
direct
0.375 0.375 0.375 Gd
0.875 0.375 0.375 Gd
0.375 0.875 0.375 Gd
0.375 0.375 0.875 Gd
0.250 0.250 0.250 Nb
0.500 0.500 0.500 Nb
```

Summary:
formation energy from the elements	2.08	eV per atom
E above lowest polymorph	1145	meV/atom
crystal system	cubic